1.
Computed, not measured: an optimized crystal structure of Tc2AgMoS at the PBE-GGA level of DFT.

The structure in POSCAR format:
```
Tc2AgMoS
1.0
4.3576 0.0000 0.0000
0.0000 4.3576 0.0000
0.0000 0.0000 4.4262
Tc Ag Mo S
2 1 1 1
Direct
0.0000 0.5000 0.0000
0.5000 0.0000 0.0000
0.0000 0.0000 0.5000
0.5000 0.5000 0.5000
0.5000 0.5000 0.0000
```

## Properties
Its uncorrected energy is -7.152 eV/atom. The space group is P4/mmm (123).

2.
Computed, not measured: an optimized crystal structure of Tl2AgMoS4 at the PBE-GGA level of DFT.

The structure in POSCAR format:
```
Tl2AgMoS4
1.0
-3.7559 3.7559 3.9277
3.7559 -3.7559 3.9277
3.7559 3.7559 -3.9277
Tl Ag Mo S
2 1 1 4
Direct
0.0000 0.0000 0.0000
0.7500 0.2500 0.5000
0.2500 0.7500 0.5000
0.5000 0.5000 0.0000
0.1940 0.5353 0.0577
0.4647 0.5224 0.6587
0.4776 0.1363 0.9423
0.8637 0.8060 0.3413
```

## Properties
Its uncorrected energy is -4.701 eV/atom. The space group is I-4 (82).

3.
Computed, not measured: an optimized crystal structure of ZrAg2MoS at the PBE-GGA level of DFT.

The structure in POSCAR format:
```
ZrAg2MoS
1.0
5.2508 0.0000 0.0000
0.0000 5.2508 0.0000
0.0000 0.0000 4.7784
Zr Ag Mo S
1 2 1 1
Direct
0.0000 0.0000 0.0000
0.0000 0.5000 0.0000
0.5000 0.0000 0.0000
0.0000 0.0000 0.5000
0.5000 0.5000 0.5000
```

## Properties
For the energy above the most stable polymorph in this dataset, the calculation gives 0.968 eV/atom. Its uncorrected energy is -4.207 eV/atom. The space group is P4/mmm (123).

4.
Computed, not measured: an optimized crystal structure of ZrAg2MoS at the PBE-GGA level of DFT.

The structure in POSCAR format:
```
ZrAg2MoS
1.0
4.6706 0.0000 0.0000
0.0000 4.6706 0.0000
0.0000 0.0000 4.8743
Zr Ag Mo S
1 2 1 1
Direct
0.0000 0.0000 0.0000
0.0000 0.5000 0.5000
0.5000 0.0000 0.5000
0.5000 0.5000 0.0000
0.0000 0.0000 0.5000
```

## Properties
For the energy above the most stable polymorph in this dataset, the calculation gives 0.000 eV/atom. Its uncorrected energy is -5.175 eV/atom. The space group is P4/mmm (123).

5.
Computed, not measured: an optimized crystal structure of AgSbMo2 at the PBE-GGA level of DFT.

The structure in POSCAR format:
```
AgSbMo2
1.0
3.2579 0.0000 0.0000
0.0000 3.2579 0.0000
0.0000 0.0000 6.6290
Ag Sb Mo
1 1 2
Direct
0.0000 0.0000 0.0000
0.0000 0.0000 0.5000
0.5000 0.5000 0.2670
0.5000 0.5000 0.7330
```

## Properties
Its uncorrected energy is -6.598 eV/atom. The space group is P4/mmm (123).

6.
Computed, not measured: an optimized crystal structure of Ag2Sb2Mo at the PBE-GGA level of DFT.

The structure in POSCAR format:
```
Ag2Sb2Mo
1.0
7.5491 0.0000 0.0000
0.0000 7.5491 0.0000
0.0000 0.0000 3.7403
Ag Sb Mo
4 4 2
Direct
0.1269 0.3731 0.0000
0.3731 0.8731 0.0000
0.6269 0.1269 0.0000
0.8731 0.6269 0.0000
0.1801 0.6801 0.5000
0.3199 0.1801 0.5000
0.6801 0.8199 0.5000
0.8199 0.3199 0.5000
0.0000 0.0000 0.0000
0.5000 0.5000 0.0000
```

## Properties
For the energy above the most stable polymorph in this dataset, the calculation gives 0.000 eV/atom. Its uncorrected energy is -4.368 eV/atom. The space group is P4/mbm (127).

7.
Computed, not measured: an optimized crystal structure of AgSbMo4 at the PBE-GGA level of DFT.

The structure in POSCAR format:
```
AgSbMo4
1.0
0.0000 3.7712 3.7712
3.7712 0.0000 3.7712
3.7712 3.7712 0.0000
Ag Sb Mo
1 1 4
Direct
0.0000 0.0000 0.0000
0.2500 0.2500 0.2500
0.1182 0.6273 0.6273
0.6273 0.1182 0.6273
0.6273 0.6273 0.1182
0.6273 0.6273 0.6273
```

## Properties
Its uncorrected energy is -7.822 eV/atom. The space group is F-43m (216).

8.
Computed, not measured: an optimized crystal structure of AgSbMo3 at the PBE-GGA level of DFT.

The structure in POSCAR format:
```
AgSbMo3
1.0
4.8993 0.0000 0.0000
0.0000 4.8993 0.0000
0.0000 0.0000 4.8993
Ag Sb Mo
1 1 3
Direct
0.0000 0.0000 0.0000
0.5000 0.5000 0.5000
0.0000 0.5000 0.5000
0.5000 0.0000 0.5000
0.5000 0.5000 0.0000
```

## Properties
For the energy above the most stable polymorph in this dataset, the calculation gives 0.000 eV/atom. Its uncorrected energy is -5.829 eV/atom. The space group is Pm-3m (221).

9.
Computed, not measured: an optimized crystal structure of AgSbMo2 at the PBE-GGA level of DFT.

The structure in POSCAR format:
```
AgSbMo2
1.0
-1.6976 2.3379 4.5005
1.6976 -2.3379 4.5005
1.6976 2.3379 -4.5005
Ag Sb Mo
1 1 2
Direct
0.0000 0.0000 0.0000
0.2571 0.7571 0.5000
0.5121 0.5121 0.0000
0.7304 0.2304 0.5000
```

## Properties
Its uncorrected energy is -6.727 eV/atom. The space group is Imm2 (44).

10.
Computed, not measured: an optimized crystal structure of AgSb2Mo at the PBE-GGA level of DFT.

The structure in POSCAR format:
```
AgSb2Mo
1.0
3.4842 0.0000 0.0000
0.0000 3.4842 0.0000
0.0000 0.0000 6.7991
Ag Sb Mo
1 2 1
Direct
0.0000 0.0000 0.0000
0.5000 0.5000 0.2743
0.5000 0.5000 0.7257
0.0000 0.0000 0.5000
```

## Properties
For the energy above the most stable polymorph in this dataset, the calculation gives 0.024 eV/atom. Its uncorrected energy is -5.289 eV/atom. The space group is P4/mmm (123).

11.
Computed, not measured: an optimized crystal structure of AgSb2Mo at the PBE-GGA level of DFT.

The structure in POSCAR format:
```
AgSb2Mo
1.0
1.5802 0.9123 10.7596
-1.5802 0.9123 10.7596
0.0000 -1.8247 10.7596
Ag Sb Mo
1 2 1
Direct
0.0000 0.0000 0.0000
0.2589 0.2589 0.2589
0.4696 0.4696 0.4696
0.7374 0.7374 0.7374
```

## Properties
For the energy above the most stable polymorph in this dataset, the calculation gives 0.296 eV/atom. Its uncorrected energy is -5.016 eV/atom. The space group is R3m (160).

12.
Computed, not measured: an optimized crystal structure of AgSb2Mo at the PBE-GGA level of DFT.

The structure in POSCAR format:
```
AgSb2Mo
1.0
4.5691 0.0000 0.0000
0.0000 1.7358 5.2525
0.0000 -1.7358 5.2525
Ag Sb Mo
1 2 1
Direct
0.0000 0.0000 0.0000
0.0000 0.7363 0.7363
0.5000 0.4540 0.4540
0.5000 0.1686 0.1686
```

## Properties
For the energy above the most stable polymorph in this dataset, the calculation gives 0.094 eV/atom. Its uncorrected energy is -5.219 eV/atom. The space group is Amm2 (38).

13.
Computed, not measured: an optimized crystal structure of AgSb2Mo at the PBE-GGA level of DFT.

The structure in POSCAR format:
```
AgSb2Mo
1.0
1.6932 0.9776 8.6422
-1.6932 0.9776 8.6422
0.0000 -1.9552 8.6422
Ag Sb Mo
1 2 1
Direct
0.0000 0.0000 0.0000
0.2426 0.2426 0.2426
0.7574 0.7574 0.7574
0.5000 0.5000 0.5000
```

## Properties
For the energy above the most stable polymorph in this dataset, the calculation gives 0.000 eV/atom. Its uncorrected energy is -5.313 eV/atom. The space group is R-3m (166).

14.
Computed, not measured: an optimized crystal structure of AgSbMo2 at the PBE-GGA level of DFT.

The structure in POSCAR format:
```
AgSbMo2
1.0
2.9212 0.0000 0.0000
0.0000 4.5905 0.0000
-0.8603 0.0000 5.3937
Ag Sb Mo
1 1 2
Direct
0.0000 0.0000 0.0000
0.5000 0.0000 0.5000
0.3243 0.5000 0.7703
0.6757 0.5000 0.2297
```

## Properties
Its uncorrected energy is -6.635 eV/atom. The space group is P2/m (10).

15.
Computed, not measured: an optimized crystal structure of AgSb2Mo at the PBE-GGA level of DFT.

The structure in POSCAR format:
```
AgSb2Mo
1.0
-2.0572 2.0572 4.9291
2.0572 -2.0572 4.9291
2.0572 2.0572 -4.9291
Ag Sb Mo
1 2 1
Direct
0.0000 0.0000 0.0000
0.5000 0.5000 0.0000
0.7500 0.2500 0.5000
0.2500 0.7500 0.5000
```

## Properties
For the energy above the most stable polymorph in this dataset, the calculation gives 0.305 eV/atom. Its uncorrected energy is -5.008 eV/atom. The space group is I-4m2 (119).

16.
Computed, not measured: an optimized crystal structure of AgSbMo2 at the PBE-GGA level of DFT.

The structure in POSCAR format:
```
AgSbMo2
1.0
3.1495 0.0000 0.0000
0.0000 4.1212 0.0000
0.0000 0.0000 5.5877
Ag Sb Mo
1 1 2
Direct
0.0000 0.0000 0.0000
0.0000 0.0000 0.5000
0.5000 0.5000 0.2801
0.5000 0.5000 0.7199
```

## Properties
Its uncorrected energy is -6.572 eV/atom. The space group is Pmmm (47).

17.
Computed, not measured: an optimized crystal structure of AgSbMo2 at the PBE-GGA level of DFT.

The structure in POSCAR format:
```
AgSbMo2
1.0
1.6894 -2.3879 0.0000
1.6894 2.3879 0.0000
0.0000 0.0000 9.5276
Ag Sb Mo
1 1 2
Direct
0.0000 0.0000 0.0000
0.5000 0.5000 0.6982
0.0000 0.0000 0.4486
0.5000 0.5000 0.2449
```

## Properties
Its uncorrected energy is -6.762 eV/atom. The space group is Cmm2 (35).

18.
Computed, not measured: an optimized crystal structure of AgSbMo2 at the PBE-GGA level of DFT.

The structure in POSCAR format:
```
AgSbMo2
1.0
-3.7723 3.7723 2.7262
3.7723 -3.7723 2.7262
3.7723 3.7723 -2.7262
Ag Sb Mo
2 2 4
Direct
0.0000 0.0000 0.0000
0.7500 0.2500 0.5000
0.2500 0.7500 0.5000
0.5000 0.5000 0.0000
0.1409 0.6250 0.0159
0.3750 0.3909 0.5159
0.6091 0.1250 0.9841
0.8750 0.8591 0.4841
```

## Properties
Its uncorrected energy is -6.271 eV/atom. The space group is I-42d (122).

19.
Computed, not measured: an optimized crystal structure of AgSbMo2 at the PBE-GGA level of DFT.

The structure in POSCAR format:
```
AgSbMo2
1.0
1.5085 0.8709 9.1249
-1.5085 0.8709 9.1249
0.0000 -1.7419 9.1249
Ag Sb Mo
1 1 2
Direct
0.0000 0.0000 0.0000
0.5000 0.5000 0.5000
0.2476 0.2476 0.2476
0.7524 0.7524 0.7524
```

## Properties
Its uncorrected energy is -6.521 eV/atom. The space group is R-3m (166).

20.
Computed, not measured: an optimized crystal structure of AgSbMo2 at the PBE-GGA level of DFT.

The structure in POSCAR format:
```
AgSbMo2
1.0
3.5144 0.0000 0.0000
0.0000 4.4135 0.0000
0.0000 0.0000 4.5603
Ag Sb Mo
1 1 2
Direct
0.0000 0.0000 0.0000
0.5000 0.5000 0.0000
0.0000 0.5000 0.5000
0.5000 0.0000 0.5000
```

## Properties
Its uncorrected energy is -6.619 eV/atom. The space group is Pmmm (47).

Across the entries above, magnetic moment takes the values 0.0 1.0 0.7 2.6 0.0 4.3 0.0 0.0 0.0 0.0 0.5 0.0 0.0 0.0 1.4 0.0 0.0 2.3 0.0 0.0 μB/cell, respectively.
Across the entries above, raw formation energy takes the values 0.557 -0.335 1.634 0.667 0.561 0.588 0.561 2.064 0.432 0.193 0.466 0.263 0.169 0.524 0.474 0.587 0.397 0.888 0.638 0.540 eV/atom, respectively.